Run 1
Material: RbHNF2
Method: DFT, PBE-GGA
State: optimized geometry

Cell lengths 4.8999, 4.8999, 2.8205 Å; angles 90.00, 90.00, 90.00 degrees
Last column: nearest neighbours and their distance in Å.
Fractional coordinates of all 5 atoms:
Rb 0.5000 0.5000 0.5000  2 Rb 2.82, 8 F 2.83
N 0.0000 0.0000 0.5000  2 H 1.41
F 0.0000 0.5000 0.0000  2 H 2.45
F 0.5000 0.0000 0.0000  2 H 2.45
H 0.0000 0.0000 0.0000  2 N 1.41

Run 2
Material: RbHNF2
Method: DFT, PBE-GGA
State: optimized geometry

Cell lengths 5.1017, 5.1017, 6.2291 Å; angles 90.00, 90.00, 90.00 degrees
Last column: nearest neighbours and their distance in Å.
Fractional coordinates of all 5 atoms:
F 0.0000 0.5000 0.0000  2 Rb 2.55
F 0.5000 0.0000 0.0000  2 Rb 2.55
Rb 0.0000 0.0000 0.0000  4 F 2.55
N 0.0000 0.0000 0.5000  2 Rb 3.11
H 0.5000 0.5000 0.5000  4 N 3.61, 8 F 4.03

Relative to the most stable one, in kJ/mol of atoms, the structures come out at run 1 0.0; run 2 74.5.

Run 1
Material: ReHNF2
Method: DFT, PBE-GGA
State: optimized geometry

Cell lengths 4.0941, 4.0941, 3.7613 Å; angles 90.00, 90.00, 90.00 degrees
Last column: nearest neighbours and their distance in Å.
Fractional coordinates of all 5 atoms:
N 0.0000 0.0000 0.5000  2 Re 1.88
H 0.5000 0.5000 0.5000  8 F 2.78, 4 N 2.89
F 0.5000 0.0000 0.0000  2 Re 2.05
F 0.0000 0.5000 0.0000  2 Re 2.05
Re 0.0000 0.0000 0.0000  2 N 1.88, 4 F 2.05

Run 2
Material: ReHNF2
Method: DFT, PBE-GGA
State: optimized geometry

Cell lengths 2.9733, 2.9733, 5.1792 Å; angles 90.00, 90.00, 90.00 degrees
Last column: nearest neighbours and their distance in Å.
Fractional coordinates of all 5 atoms:
F 0.0000 0.5000 0.0000  2 H 1.49
F 0.5000 0.0000 0.0000  2 H 1.49
N 0.0000 0.0000 0.5000  4 Re 2.10
Re 0.5000 0.5000 0.5000  4 N 2.10
H 0.0000 0.0000 0.0000  4 F 1.49

Relative to the most stable one, in kJ/mol of atoms, the structures come out at run 1 0.0; run 2 44.1.

Run 1
Material: HRuN2F
Method: DFT, PBE-GGA
State: optimized geometry

Cell lengths 3.2130, 3.2130, 3.7147 Å; angles 90.00, 90.00, 90.00 degrees
Last column: nearest neighbours and their distance in Å.
Fractional coordinates of all 5 atoms:
F 0.0000 0.0000 0.5000  2 H 1.86
N 0.0000 0.5000 0.0000  2 H 1.61
N 0.5000 0.0000 0.0000  2 H 1.61
Ru 0.5000 0.5000 0.5000  4 F 2.27, 8 N 2.46
H 0.0000 0.0000 0.0000  4 N 1.61

Run 2
Material: HRuN2F
Method: DFT, PBE-GGA
State: optimized geometry

Cell lengths 3.7645, 3.7645, 4.1817 Å; angles 90.00, 90.00, 90.00 degrees
Last column: nearest neighbours and their distance in Å.
Fractional coordinates of all 5 atoms:
N 0.5000 0.0000 0.0000  2 Ru 1.88
N 0.0000 0.5000 0.0000  2 Ru 1.88
Ru 0.0000 0.0000 0.0000  4 N 1.88, 2 F 2.09
F 0.0000 0.0000 0.5000  2 Ru 2.09
H 0.5000 0.5000 0.5000  4 F 2.66, 8 N 2.81

Relative to the most stable one, in kJ/mol of atoms, the structures come out at run 1 60.9; run 2 0.0.